# 1
Ac2PrAl2: relaxed, PBE.

Cell lengths 5.010, 6.421, 6.421 Å; angles 65.89, 67.04, 67.04 degrees
Atoms (fractional coordinates):
Ac 0.800 0.700 0.700
Ac 0.200 0.300 0.300
Pr 0.000 0.000 0.000
Al 0.500 0.301 0.699
Al 0.500 0.699 0.301

- Final energy: -4.30 eV per atom
- Symmetry: Immm (71)

# 2
AcPrAl4: relaxed, PBE.

Cell lengths 5.817, 5.817, 5.817 Å; angles 60.00, 60.00, 60.00 degrees
Atoms (fractional coordinates):
Pr 0.000 0.000 0.000
Ac 0.250 0.250 0.250
Al 0.625 0.625 0.125
Al 0.625 0.125 0.625
Al 0.625 0.625 0.625
Al 0.125 0.625 0.625

- Polymorph energy (0 for the lowest one): 0.00 eV/f.u.
- Symmetry: F-43m (216)

# 3
AcPrAl4: relaxed, PBE.

Cell lengths 4.479, 4.479, 8.441 Å; angles 105.39, 105.39, 90.00 degrees
Atoms (fractional coordinates):
Ac 0.000 0.000 0.000
Pr 0.250 0.750 0.500
Al 0.669 0.169 0.337
Al 0.585 0.585 0.170
Al 0.831 0.331 0.663
Al 0.415 0.415 0.830

- Polymorph energy (0 for the lowest one): 0.03 eV/f.u.
- Symmetry: I-4m2 (119)

# 4
AcPrAl: relaxed, PBE.

Cell lengths 5.364, 5.364, 5.364 Å; angles 60.00, 60.00, 60.00 degrees
Atoms (fractional coordinates):
Pr 0.000 0.000 0.000
Ac 0.500 0.500 0.500
Al 0.250 0.250 0.250

- Polymorph energy (0 for the lowest one): 0.38 eV/f.u.
- Symmetry: F-43m (216)

# 5
Ac3Pr12Al: relaxed, PBE.

Cell lengths 5.227, 5.227, 21.115 Å; angles 90.00, 90.00, 90.00 degrees
Atoms (fractional coordinates):
Ac 0.000 0.000 0.242
Ac 0.000 0.000 0.500
Ac 0.000 0.000 0.758
Pr 0.500 0.500 0.000
Pr 0.500 0.500 0.239
Pr 0.500 0.500 0.500
Pr 0.500 0.500 0.761
Pr 0.500 0.000 0.112
Pr 0.500 0.000 0.371
Pr 0.500 0.000 0.629
Pr 0.500 0.000 0.888
Pr 0.000 0.500 0.112
Pr 0.000 0.500 0.371
Pr 0.000 0.500 0.629
Pr 0.000 0.500 0.888
Al 0.000 0.000 0.000

- Final energy: -4.59 eV per atom
- Symmetry: P4/mmm (123)

# 6
Ac2PrAl4: relaxed, PBE.

Cell lengths 4.423, 4.565, 10.591 Å; angles 102.45, 102.05, 90.00 degrees
Atoms (fractional coordinates):
Pr 0.500 0.000 0.000
Ac 0.815 0.815 0.630
Ac 0.185 0.185 0.370
Al 0.631 0.631 0.262
Al 0.369 0.369 0.738
Al 0.063 0.563 0.125
Al 0.937 0.437 0.875

- Final energy: -4.34 eV per atom
- Symmetry: Immm (71)

# 7
AcPrAl: relaxed, PBE.

Cell lengths 3.768, 3.768, 7.468 Å; angles 104.61, 104.61, 90.00 degrees
Atoms (fractional coordinates):
Pr 0.310 0.310 0.621
Ac 0.597 0.597 0.194
Al 0.943 0.943 0.885

- Polymorph energy (0 for the lowest one): 0.00 eV/f.u.
- Symmetry: I4mm (107)

# 8
AcPrAl: relaxed, PBE.

Cell lengths 5.318, 5.318, 8.046 Å; angles 90.00, 90.00, 60.00 degrees
Atoms (fractional coordinates):
Ac 0.667 0.167 0.378
Ac 0.333 0.833 0.622
Pr 0.667 0.167 0.903
Pr 0.333 0.833 0.097
Al 0.000 0.500 0.817
Al 0.000 0.500 0.183

- Polymorph energy (0 for the lowest one): 0.13 eV/f.u.
- Symmetry: P-3m1 (164)

Calculated total moment in order - 0.00, 0.00, 0.00, 0.00, 0.00, 0.00, 0.00, 0.00 μB/atom